# Tm2PdPt9

A geometry-optimized Tm2PdPt9 structure (GGA-PBE, Alexandria via LeMat-Bulk). Values from VASP.

```
&SYSTEM
  ibrav = 0, nat = 12, ntyp = 3
/
ATOMIC_SPECIES
Tm 168.93 Tm.upf
Pd 106.42 Pd.upf
Pt 195.08 Pt.upf
CELL_PARAMETERS angstrom
4.041 0.000 0.000
0.000 4.041 0.000
0.000 0.000 12.213
ATOMIC_POSITIONS crystal
Tm 0.000 0.000 0.169
Tm 0.000 0.000 0.831
Pd 0.000 0.000 0.500
Pt 0.000 0.500 0.000
Pt 0.000 0.500 0.338
Pt 0.000 0.500 0.662
Pt 0.500 0.000 0.000
Pt 0.500 0.000 0.338
Pt 0.500 0.000 0.662
Pt 0.500 0.500 0.169
Pt 0.500 0.500 0.500
Pt 0.500 0.500 0.831
```

Computed properties:
Space-group type: No. 123
Density: 18.31 g/cm3

***

# TmPd2Pt2

A geometry-optimized TmPd2Pt2 structure (GGA-PBE, Alexandria via LeMat-Bulk). Values from VASP.

```
&SYSTEM
  ibrav = 0, nat = 5, ntyp = 3
/
ATOMIC_SPECIES
Tm 168.93 Tm.upf
Pd 106.42 Pd.upf
Pt 195.08 Pt.upf
CELL_PARAMETERS angstrom
-2.480 2.480 4.062
2.480 -2.480 4.062
2.480 2.480 -4.062
ATOMIC_POSITIONS crystal
Tm 0.000 0.000 0.000
Pd 0.345 0.345 0.000
Pd 0.655 0.655 0.000
Pt 0.250 0.750 0.500
Pt 0.750 0.250 0.500
```

Computed properties:
Space-group type: No. 139
Density: 12.83 g/cm3
Energy relative to the lowest polymorph listed for this composition: 77 meV/atom

***

# Tm3Pd2Pt7

A geometry-optimized Tm3Pd2Pt7 structure (GGA-PBE, Alexandria via LeMat-Bulk). Values from VASP.

```
&SYSTEM
  ibrav = 0, nat = 12, ntyp = 3
/
ATOMIC_SPECIES
Tm 168.93 Tm.upf
Pd 106.42 Pd.upf
Pt 195.08 Pt.upf
CELL_PARAMETERS angstrom
2.082 -12.989 0.000
2.082 12.989 0.000
0.000 0.000 4.164
ATOMIC_POSITIONS crystal
Tm 0.000 0.000 0.000
Tm 0.156 0.844 0.000
Tm 0.844 0.156 0.000
Pd 0.347 0.653 0.500
Pd 0.653 0.347 0.500
Pt 0.078 0.922 0.500
Pt 0.224 0.776 0.500
Pt 0.423 0.577 0.000
Pt 0.500 0.500 0.500
Pt 0.577 0.423 0.000
Pt 0.776 0.224 0.500
Pt 0.922 0.078 0.500
```

Computed properties:
Space-group type: No. 65
Density: 15.38 g/cm3

***

# Tm6Pd5Pt

A geometry-optimized Tm6Pd5Pt structure (GGA-PBE, Alexandria via LeMat-Bulk). Values from VASP.

```
&SYSTEM
  ibrav = 0, nat = 12, ntyp = 3
/
ATOMIC_SPECIES
Tm 168.93 Tm.upf
Pd 106.42 Pd.upf
Pt 195.08 Pt.upf
CELL_PARAMETERS angstrom
4.915 0.000 0.000
0.000 6.883 0.000
-2.429 0.000 7.350
ATOMIC_POSITIONS crystal
Tm 0.000 0.247 0.000
Tm 0.000 0.753 0.000
Tm 0.335 0.249 0.669
Tm 0.335 0.751 0.669
Tm 0.665 0.249 0.331
Tm 0.665 0.751 0.331
Pd 0.165 0.500 0.331
Pd 0.170 0.000 0.341
Pd 0.500 0.500 0.000
Pd 0.830 0.000 0.659
Pd 0.835 0.500 0.669
Pt 0.500 0.000 0.000
```

Computed properties:
Space-group type: No. 10
Density: 11.63 g/cm3
Energy relative to the lowest polymorph listed for this composition: 0 meV/atom

***

# TmPd23Pt6

A geometry-optimized TmPd23Pt6 structure (GGA-PBE, Alexandria via LeMat-Bulk). Values from VASP.

```
&SYSTEM
  ibrav = 0, nat = 30, ntyp = 3
/
ATOMIC_SPECIES
Tm 168.93 Tm.upf
Pd 106.42 Pd.upf
Pt 195.08 Pt.upf
CELL_PARAMETERS angstrom
0.000 6.253 6.253
6.253 0.000 6.253
6.253 6.253 0.000
ATOMIC_POSITIONS crystal
Tm 0.000 0.000 0.000
Pd 0.000 0.000 0.500
Pd 0.000 0.500 0.000
Pd 0.000 0.500 0.500
Pd 0.121 0.626 0.626
Pd 0.134 0.134 0.134
Pd 0.134 0.134 0.598
Pd 0.134 0.598 0.134
Pd 0.374 0.374 0.374
Pd 0.374 0.374 0.879
Pd 0.374 0.879 0.374
Pd 0.402 0.866 0.866
Pd 0.500 0.000 0.000
Pd 0.500 0.000 0.500
Pd 0.500 0.500 0.000
Pd 0.500 0.500 0.500
Pd 0.598 0.134 0.134
Pd 0.626 0.121 0.626
Pd 0.626 0.626 0.121
Pd 0.626 0.626 0.626
Pd 0.866 0.402 0.866
Pd 0.866 0.866 0.402
Pd 0.866 0.866 0.866
Pd 0.879 0.374 0.374
Pt 0.246 0.246 0.754
Pt 0.246 0.754 0.246
Pt 0.246 0.754 0.754
Pt 0.754 0.246 0.246
Pt 0.754 0.246 0.754
Pt 0.754 0.754 0.246
```

Computed properties:
Space-group type: No. 225
Density: 12.86 g/cm3

***

# Tm3PdPt

A geometry-optimized Tm3PdPt structure (GGA-PBE, Alexandria via LeMat-Bulk). Values from VASP.

```
&SYSTEM
  ibrav = 0, nat = 10, ntyp = 3
/
ATOMIC_SPECIES
Tm 168.93 Tm.upf
Pd 106.42 Pd.upf
Pt 195.08 Pt.upf
CELL_PARAMETERS angstrom
4.106 0.000 0.000
0.000 6.993 0.000
0.000 0.000 8.584
ATOMIC_POSITIONS crystal
Tm 0.250 0.011 0.173
Tm 0.250 0.250 0.552
Tm 0.250 0.489 0.173
Tm 0.750 0.511 0.827
Tm 0.750 0.750 0.448
Tm 0.750 0.989 0.827
Pd 0.250 0.750 0.667
Pd 0.750 0.250 0.333
Pt 0.250 0.250 0.898
Pt 0.750 0.750 0.102
```

Computed properties:
Space-group type: No. 59
Density: 10.89 g/cm3

***

# TmPd5Pt5

A geometry-optimized TmPd5Pt5 structure (GGA-PBE, Alexandria via LeMat-Bulk). Values from VASP.

```
&SYSTEM
  ibrav = 0, nat = 11, ntyp = 3
/
ATOMIC_SPECIES
Tm 168.93 Tm.upf
Pd 106.42 Pd.upf
Pt 195.08 Pt.upf
CELL_PARAMETERS angstrom
4.629 0.000 0.000
0.410 5.882 0.000
1.755 0.835 6.924
ATOMIC_POSITIONS crystal
Tm 0.000 0.000 0.000
Pd 0.000 0.500 0.000
Pd 0.024 0.817 0.658
Pd 0.491 0.263 0.031
Pd 0.509 0.737 0.969
Pd 0.976 0.183 0.342
Pt 0.048 0.657 0.320
Pt 0.497 0.076 0.674
Pt 0.500 0.500 0.500
Pt 0.503 0.924 0.326
Pt 0.952 0.343 0.680
```

Computed properties:
Space-group type: No. 2
Density: 14.76 g/cm3

***

# Tm2PdPt3

A geometry-optimized Tm2PdPt3 structure (GGA-PBE, Alexandria via LeMat-Bulk). Values from VASP.

```
&SYSTEM
  ibrav = 0, nat = 12, ntyp = 3
/
ATOMIC_SPECIES
Tm 168.93 Tm.upf
Pd 106.42 Pd.upf
Pt 195.08 Pt.upf
CELL_PARAMETERS angstrom
-3.753 4.245 4.130
3.753 -4.245 4.130
3.753 4.245 -4.130
ATOMIC_POSITIONS crystal
Tm 0.181 0.201 0.382
Tm 0.319 0.701 0.020
Tm 0.681 0.299 0.980
Tm 0.819 0.799 0.618
Pd 0.000 0.500 0.500
Pd 0.500 0.000 0.500
Pt 0.063 0.750 0.313
Pt 0.250 0.250 0.000
Pt 0.437 0.750 0.687
Pt 0.563 0.250 0.313
Pt 0.750 0.750 0.000
Pt 0.937 0.250 0.687
```

Computed properties:
Space-group type: No. 72
Density: 12.99 g/cm3
Energy relative to the lowest polymorph listed for this composition: 90 meV/atom

***

Number 1: DFT total energy -6.421 eV/atom. Number 2: DFT total energy -5.635 eV/atom. Number 3: DFT total energy -6.371 eV/atom. Number 4: DFT total energy -5.908 eV/atom. Number 5: DFT total energy -5.382 eV/atom. Number 6: DFT total energy -5.805 eV/atom. Number 7: DFT total energy -5.676 eV/atom. Number 8: DFT total energy -6.129 eV/atom.